(1)
12
Lattice="3.4889 -6.0423 0.0000 3.4889 6.0423 0.0000 -2.3250 0.0000 6.5795" Properties=species:S:1:pos:R:3 comment="NdDy3Ho2P6 (PBE, optimized geometry)" dos_at_fermi_per_ev_atom=0.139 sg=C2/m formation_energy_ev_per_fu=-19.13 pbc="T T T"
Nd 0.0000 0.0000 0.0000
Dy 2.3264 4.0416 3.2898
Dy 2.3264 0.0000 3.2898
Dy 2.3264 -4.0416 3.2898
Ho 3.4889 2.0183 0.0000
Ho 3.4889 -2.0183 0.0000
P 1.1836 2.0492 1.6620
P 0.0416 0.0000 4.9220
P 1.1836 -2.0492 1.6620
P 3.4691 2.0492 4.9175
P 4.6111 0.0000 1.6575
P 3.4691 -2.0492 4.9175

(2)
12
Lattice="3.0502 -5.2860 0.0000 3.0502 5.2860 0.0000 -2.0424 0.0000 11.5852" Properties=species:S:1:pos:R:3 comment="Nd2Dy6Ho3Pb (PBE, optimized geometry)" dos_at_fermi_per_ev_atom=1.115 sg=C2/m formation_energy_ev_per_fu=-0.79 pbc="T T T"
Nd 3.0502 3.5307 0.0000
Nd 3.0502 -3.5307 0.0000
Dy 0.0160 1.7281 8.6729
Dy 1.0505 0.0000 2.9262
Dy 0.0160 -1.7281 8.6729
Dy 4.0419 1.7281 2.9123
Dy 3.0075 0.0000 8.6589
Dy 4.0419 -1.7281 2.9123
Ho -1.0212 0.0000 5.7926
Ho 2.0290 1.7709 5.7926
Ho 2.0290 -1.7709 5.7926
Pb 3.0502 0.0000 0.0000

(3)
12
Lattice="3.0466 -5.2793 0.0000 3.0466 5.2793 0.0000 -2.0409 0.0000 11.5563" Properties=species:S:1:pos:R:3 comment="Nd2Dy3Ho6Pb (PBE, optimized geometry)" dos_at_fermi_per_ev_atom=1.123 sg=C2/m formation_energy_ev_per_fu=-0.80 pbc="T T T"
Nd 3.0466 3.5251 0.0000
Nd 3.0466 -3.5251 0.0000
Dy -1.0205 0.0000 5.7782
Dy 2.0261 1.7674 5.7782
Dy 2.0261 -1.7674 5.7782
Ho 0.0158 1.7270 8.6587
Ho 1.0471 0.0000 2.9110
Ho 0.0158 -1.7270 8.6587
Ho 4.0364 1.7270 2.8976
Ho 3.0052 0.0000 8.6453
Ho 4.0364 -1.7270 2.8976
Pb 3.0466 0.0000 0.0000

(4)
12
Lattice="2.5559 -7.6986 0.0000 2.5559 7.6986 0.0000 0.0000 0.0000 10.2810" Properties=species:S:1:pos:R:3 comment="PmNd3DyHo (PBE, optimized geometry)" dos_at_fermi_per_ev_atom=1.445 sg=Cmcm formation_energy_ev_per_fu=0.10 pbc="T T T"
Pm 2.5559 7.6761 7.7107
Pm 2.5559 -7.6761 2.5702
Nd 2.5559 5.1510 5.1456
Nd 2.5559 5.1510 10.2758
Nd 2.5559 2.5692 7.7107
Nd 2.5559 -2.5692 2.5702
Nd 2.5559 -5.1510 0.0052
Nd 2.5559 -5.1510 5.1353
Dy 2.5559 0.0000 0.0000
Dy 2.5559 0.0000 5.1405
Ho 2.5559 2.5589 2.5702
Ho 2.5559 -2.5589 7.7107

(5)
12
Lattice="7.0796 0.0000 0.0000 0.0000 5.7130 0.0000 0.0000 0.0000 9.9014" Properties=species:S:1:pos:R:3 comment="Pm2Nd2DyHo (PBE, optimized geometry)" dos_at_fermi_per_ev_atom=1.485 sg=Pmma formation_energy_ev_per_fu=0.35 pbc="T T T"
Pm 1.7699 0.0000 1.6108
Pm 1.7699 2.8565 6.6234
Pm 5.3097 0.0000 8.2905
Pm 5.3097 2.8565 3.2780
Nd 0.0000 2.8565 0.0000
Nd 1.7699 0.0000 8.1513
Nd 3.5398 2.8565 0.0000
Nd 5.3097 0.0000 1.7501
Dy 1.7699 2.8565 3.3745
Dy 5.3097 2.8565 6.5268
Ho 0.0000 0.0000 4.9507
Ho 3.5398 0.0000 4.9507

(6)
18
Lattice="-4.3527 4.3527 7.8057 4.3527 -4.3527 7.8057 4.3527 4.3527 -7.8057" Properties=species:S:1:pos:R:3 comment="PmNd2Dy5Ho (PBE, optimized geometry)" dos_at_fermi_per_ev_atom=1.201 sg=I4/mcm formation_energy_ev_per_fu=2.41 pbc="T T T"
Pm 0.0000 0.0000 3.9028
Pm 0.0000 0.0000 11.7085
Nd 5.3746 1.0219 0.0000
Nd 1.0219 3.3308 0.0000
Nd 3.3308 1.0219 7.8057
Nd -1.0219 3.3308 7.8057
Dy 0.0000 0.0000 0.0000
Dy 2.5163 1.8364 -2.1655
Dy 2.5163 -1.8364 5.6402
Dy 2.5163 1.8364 2.1655
Dy 2.5163 -1.8364 9.9712
Dy 0.0000 0.0000 7.8057
Dy 1.8364 6.1891 -2.1655
Dy 1.8364 2.5163 5.6402
Dy 1.8364 6.1891 2.1655
Dy 1.8364 2.5163 9.9712
Ho 4.3527 0.0000 3.9028
Ho 0.0000 4.3527 3.9028

(7)
9
Lattice="7.6446 -2.5414 0.0000 7.6446 2.5414 0.0000 -2.5386 0.0000 7.6391" Properties=species:S:1:pos:R:3 comment="Pm4NdDy2Ho2 (PBE, optimized geometry)" dos_at_fermi_per_ev_atom=1.429 sg=C2/m formation_energy_ev_per_fu=0.15 pbc="T T T"
Pm -0.0089 0.0000 2.5405
Pm 2.5401 0.0000 5.1005
Pm 10.2104 0.0000 2.5387
Pm 12.7594 0.0000 5.0987
Nd 7.6446 0.0000 0.0000
Dy 5.0968 0.0000 2.5411
Dy 7.6537 0.0000 5.0981
Ho 0.0322 0.0000 7.6346
Ho 12.7183 0.0000 0.0045

(8)
12
Lattice="3.1555 -5.4662 0.0000 3.1555 5.4662 0.0000 -2.1017 0.0000 11.8066" Properties=species:S:1:pos:R:3 comment="Pm3Nd6DyHo2 (PBE, optimized geometry)" dos_at_fermi_per_ev_atom=1.304 sg=C2/m formation_energy_ev_per_fu=0.16 pbc="T T T"
Pm 0.0000 0.0000 0.0000
Pm 3.1555 1.8228 0.0000
Pm 3.1555 -1.8228 0.0000
Nd 1.0482 1.8228 2.9925
Nd 0.0043 0.0000 8.8147
Nd 1.0482 -1.8228 2.9925
Nd 3.1610 1.8228 8.8141
Nd 4.2050 0.0000 2.9920
Nd 3.1610 -1.8228 8.8141
Dy 2.1046 0.0000 5.9033
Ho 2.1046 3.6445 5.9033
Ho 2.1046 -3.6445 5.9033

(9)
20
Lattice="4.6176 -7.6250 0.0000 4.6176 7.6250 0.0000 -1.3461 0.0000 9.6185" Properties=species:S:1:pos:R:3 comment="Pm6NdDyHo2 (PBE, optimized geometry)" dos_at_fermi_per_ev_atom=1.484 sg=C2/c formation_energy_ev_per_fu=1.17 pbc="T T T"
Pm 2.4523 4.1895 1.7686
Pm 3.2774 4.9145 5.3379
Pm 3.9385 4.9145 9.0899
Pm 3.1947 1.6354 3.6528
Pm 6.1097 4.1895 3.0406
Pm 5.3674 1.6354 1.1565
Pm 2.5216 -1.6354 8.4621
Pm 1.7792 -4.1895 6.5779
Pm 4.6943 -1.6354 5.9657
Pm 3.9505 -4.9145 0.5286
Pm 4.6115 -4.9145 4.2806
Pm 5.4367 -4.1895 7.8499
Nd 3.6080 1.4189 7.2139
Nd 4.2810 -1.4189 2.4046
Dy 4.2810 7.1954 2.4046
Dy 3.6080 -7.1954 7.2139
Ho 2.1977 0.7452 0.4387
Ho 1.5247 -0.7452 5.2479
Ho 6.3643 0.7452 4.3706
Ho 5.6912 -0.7452 9.1798

(10)
9
Lattice="7.6895 -2.5626 0.0000 7.6895 2.5626 0.0000 -2.5696 0.0000 7.6521" Properties=species:S:1:pos:R:3 comment="Pm4Nd2Dy2Ho (PBE, optimized geometry)" dos_at_fermi_per_ev_atom=1.552 sg=C2/m formation_energy_ev_per_fu=0.17 pbc="T T T"
Pm 0.0017 0.0000 2.5300
Pm 2.5625 0.0000 5.1209
Pm 10.2469 0.0000 2.5312
Pm 12.8077 0.0000 5.1220
Nd 5.1234 0.0000 2.5315
Nd 7.6860 0.0000 5.1206
Dy 2.5596 0.0000 0.0012
Dy 10.2498 0.0000 7.6509
Ho 7.6895 0.0000 0.0000

(11)
18
Lattice="-4.3627 4.3627 7.6986 4.3627 -4.3627 7.6986 4.3627 4.3627 -7.6986" Properties=species:S:1:pos:R:3 comment="Pm2NdDyHo5 (PBE, optimized geometry)" dos_at_fermi_per_ev_atom=1.104 sg=I4/mcm formation_energy_ev_per_fu=2.39 pbc="T T T"
Pm 5.3775 1.0148 0.0000
Pm 1.0148 3.3479 0.0000
Pm 3.3479 1.0148 7.6986
Pm -1.0148 3.3479 7.6986
Nd 0.0000 0.0000 3.8493
Nd 0.0000 0.0000 11.5479
Dy 4.3627 0.0000 3.8493
Dy 0.0000 4.3627 3.8493
Ho 0.0000 0.0000 0.0000
Ho 2.5337 1.8290 -2.1113
Ho 2.5337 -1.8290 5.5873
Ho 2.5337 1.8290 2.1113
Ho 2.5337 -1.8290 9.8099
Ho 0.0000 0.0000 7.6986
Ho 1.8290 6.1917 -2.1113
Ho 1.8290 2.5337 5.5873
Ho 1.8290 6.1917 2.1113
Ho 1.8290 2.5337 9.8099

(12)
10
Lattice="4.2262 -5.8243 0.0000 4.2262 5.8243 0.0000 0.0000 0.0000 7.2585" Properties=species:S:1:pos:R:3 comment="Pm2NdDyHo (PBE, optimized geometry)" dos_at_fermi_per_ev_atom=1.477 sg=Cmcm formation_energy_ev_per_fu=1.94 pbc="T T T"
Pm 1.6263 0.0000 0.0000
Pm 1.6263 0.0000 3.6292
Pm 6.8262 0.0000 0.0000
Pm 6.8262 0.0000 3.6292
Nd 4.2262 3.2081 5.4439
Nd 4.2262 -3.2081 1.8146
Dy 4.2262 3.1064 1.8146
Dy 4.2262 -3.1064 5.4439
Ho 4.2262 0.1123 5.4439
Ho 4.2262 -0.1123 1.8146

(13)
10
Lattice="4.2119 -5.7717 0.0000 4.2119 5.7717 0.0000 0.0000 0.0000 7.1669" Properties=species:S:1:pos:R:3 comment="PmNdDyHo2 (PBE, optimized geometry)" dos_at_fermi_per_ev_atom=1.657 sg=Cmcm formation_energy_ev_per_fu=1.91 pbc="T T T"
Pm 4.2119 5.7706 1.7917
Pm 4.2119 -5.7706 5.3752
Nd 4.2119 2.6490 5.3752
Nd 4.2119 -2.6490 1.7917
Dy 4.2119 2.5620 1.7917
Dy 4.2119 -2.5620 5.3752
Ho 2.6364 0.0000 0.0000
Ho 2.6364 0.0000 3.5835
Ho 5.7875 0.0000 0.0000
Ho 5.7875 0.0000 3.5835

(14)
18
Lattice="-4.3976 4.3976 7.5294 4.3976 -4.3976 7.5294 4.3976 4.3976 -7.5294" Properties=species:S:1:pos:R:3 comment="PmNdDy2Ho5 (PBE, optimized geometry)" dos_at_fermi_per_ev_atom=1.204 sg=I4/mcm formation_energy_ev_per_fu=2.52 pbc="T T T"
Pm 0.0000 0.0000 3.7647
Pm 0.0000 0.0000 11.2941
Nd 4.3976 0.0000 3.7647
Nd 0.0000 4.3976 3.7647
Dy 5.4137 1.0161 0.0000
Dy 1.0161 3.3815 0.0000
Dy 3.3815 1.0161 7.5294
Dy -1.0161 3.3815 7.5294
Ho 0.0000 0.0000 0.0000
Ho 2.6036 1.7939 -2.0104
Ho 2.6036 -1.7939 5.5190
Ho 2.6036 1.7939 2.0104
Ho 2.6036 -1.7939 9.5398
Ho 0.0000 0.0000 7.5294
Ho 1.7939 6.1915 -2.0104
Ho 1.7939 2.6036 5.5190
Ho 1.7939 6.1915 2.0104
Ho 1.7939 2.6036 9.5398

(15)
20
Lattice="4.6146 -7.6412 0.0000 4.6146 7.6412 0.0000 -1.3438 0.0000 9.6150" Properties=species:S:1:pos:R:3 comment="Pm6NdDy2Ho (PBE, optimized geometry)" dos_at_fermi_per_ev_atom=1.477 sg=C2/c formation_energy_ev_per_fu=1.18 pbc="T T T"
Pm 2.4553 4.2009 1.7732
Pm 3.2835 4.9226 5.3361
Pm 3.9301 4.9226 9.0864
Pm 3.1874 1.6398 3.6553
Pm 6.1021 4.2009 3.0343
Pm 5.3700 1.6398 1.1522
Pm 2.5155 -1.6398 8.4629
Pm 1.7834 -4.2009 6.5807
Pm 4.6981 -1.6398 5.9597
Pm 3.9554 -4.9226 0.5286
Pm 4.6020 -4.9226 4.2789
Pm 5.4302 -4.2009 7.8418
Nd 3.6068 1.4196 7.2113
Nd 4.2787 -1.4196 2.4038
Dy 2.1952 0.7507 0.4355
Dy 1.5233 -0.7507 5.2430
Dy 6.3622 0.7507 4.3720
Dy 5.6903 -0.7507 9.1796
Ho 4.2787 7.2128 2.4038
Ho 3.6068 -7.2128 7.2113

(16)
20
Lattice="4.6482 -7.6719 0.0000 4.6482 7.6719 0.0000 -1.2408 0.0000 9.6233" Properties=species:S:1:pos:R:3 comment="PmNd6Dy2Ho (PBE, optimized geometry)" dos_at_fermi_per_ev_atom=1.432 sg=C2/c formation_energy_ev_per_fu=1.14 pbc="T T T"
Pm 3.7176 7.2572 7.2175
Pm 4.3380 -7.2572 2.4058
Nd 1.8145 4.2525 6.6087
Nd 4.0012 4.9245 0.5269
Nd 4.6749 4.9245 4.2848
Nd 2.6427 1.6688 8.4862
Nd 5.6208 4.2525 7.8263
Nd 4.7926 1.6688 5.9488
Nd 3.2631 -1.6688 3.6745
Nd 2.4349 -4.2525 1.7971
Nd 5.4130 -1.6688 1.1371
Nd 3.3808 -4.9245 5.3385
Nd 4.0545 -4.9245 9.0965
Nd 6.2412 -4.2525 3.0146
Dy 1.6486 0.7547 5.2602
Dy 2.2690 -0.7547 0.4485
Dy 5.7867 0.7547 9.1748
Dy 6.4071 -0.7547 4.3632
Ho 4.3380 1.3676 2.4058
Ho 3.7176 -1.3676 7.2175

(17)
12
Lattice="3.0907 -5.3497 0.0000 3.0907 5.3497 0.0000 -2.0504 0.0000 11.6305" Properties=species:S:1:pos:R:3 comment="Pm2NdDy6Ho3 (PBE, optimized geometry)" dos_at_fermi_per_ev_atom=1.305 sg=C2/m formation_energy_ev_per_fu=0.21 pbc="T T T"
Pm 3.0907 3.5667 0.0000
Pm 3.0907 -3.5667 0.0000
Nd 3.0907 0.0000 0.0000
Dy 0.0029 1.7840 8.6806
Dy 1.0359 0.0000 2.9499
Dy 0.0029 -1.7840 8.6806
Dy 4.1281 1.7840 2.9499
Dy 3.0951 0.0000 8.6806
Dy 4.1281 -1.7840 2.9499
Ho -1.0252 0.0000 5.8153
Ho 2.0655 1.7838 5.8153
Ho 2.0655 -1.7838 5.8153

(18)
16
Lattice="6.8984 -6.6541 0.0000 6.8984 6.6541 0.0000 -3.4206 0.0000 5.9930" Properties=species:S:1:pos:R:3 comment="Pm4Nd2DyHo (PBE, optimized geometry)" dos_at_fermi_per_ev_atom=2.192 sg=C2/c formation_energy_ev_per_fu=3.10 pbc="T T T"
Pm 3.3579 3.3808 5.9175
Pm 1.8627 0.0286 2.7137
Pm 0.1524 -0.0286 5.7102
Pm 5.3079 3.3808 3.0721
Pm 5.0682 -3.3808 2.9210
Pm 10.2237 0.0286 0.2828
Pm 8.5134 -0.0286 3.2793
Pm 7.0182 -3.3808 0.0755
Nd 3.4492 3.3270 0.0000
Nd 1.7389 -3.3270 2.9965
Nd 6.8984 0.0000 0.0000
Nd 5.1881 0.0000 2.9965
Dy 1.7389 3.3270 2.9965
Dy 3.4492 -3.3270 0.0000
Ho 0.0000 0.0000 0.0000
Ho -1.7103 0.0000 2.9965

(19)
9
Lattice="7.7060 -2.5687 0.0000 7.7060 2.5687 0.0000 -2.5766 0.0000 7.6648" Properties=species:S:1:pos:R:3 comment="Pm2Nd4Dy2Ho (PBE, optimized geometry)" dos_at_fermi_per_ev_atom=1.586 sg=C2/m formation_energy_ev_per_fu=0.17 pbc="T T T"
Pm 1.2817 0.0000 1.3015
Pm 11.5537 0.0000 6.3633
Nd 1.2801 0.0000 6.3667
Nd 6.4245 0.0000 1.2972
Nd 6.4109 0.0000 6.3676
Nd 11.5553 0.0000 1.2981
Dy 3.8497 0.0000 3.8329
Dy 8.9857 0.0000 3.8319
Ho -1.2883 0.0000 3.8324